Here is an optimized crystal structure of NaSbMoO5 from the Alexandria database. Energies are from GGA-PBEsol.

a = 5.6310 Å, b = 8.5429 Å, c = 10.8633 Å
α = 90.00°, β = 90.00°, γ = 101.87°
Last column: nearest neighbours and their distance in Å.
Fractional positions:
Na  0.4699  0.4145  0.6402  6 O 2.35-2.55
Na  0.9699  0.4145  0.8598  6 O 2.35-2.55
Na  0.0301  0.5855  0.1402  6 O 2.35-2.55
Na  0.5301  0.5855  0.3598  6 O 2.35-2.55
Sb  0.1679  0.0437  0.8385  3 O 1.98-2.17
Sb  0.8321  0.9563  0.1615  3 O 1.98-2.17
Sb  0.3321  0.9563  0.3385  3 O 1.98-2.17
Sb  0.6679  0.0437  0.6615  3 O 1.98-2.17
Mo  0.0592  0.7012  0.5933  4 O 1.74-1.81
Mo  0.5592  0.7012  0.9067  4 O 1.74-1.81
Mo  0.9408  0.2988  0.4067  4 O 1.74-1.81
Mo  0.4408  0.2988  0.0933  4 O 1.74-1.81
O  0.7545  0.7512  0.0392  1 Mo 1.81
O  0.3292  0.4314  0.1874  1 Mo 1.74
O  0.2545  0.7512  0.4608  1 Mo 1.81
O  0.7322  0.3819  0.0431  1 Mo 1.74
O  0.5552  0.8851  0.8268  1 Mo 1.80
O  0.0552  0.8851  0.6732  1 Mo 1.80
O  0.7678  0.6181  0.5431  1 Mo 1.74
O  0.2322  0.3819  0.4569  1 Mo 1.74
O  0.5691  0.8382  0.2670  2 Sb 1.98-1.99
O  0.7455  0.2488  0.5392  1 Mo 1.81
O  0.1708  0.5686  0.6874  1 Mo 1.74
O  0.9309  0.1618  0.7670  2 Sb 1.98-1.99
O  0.8292  0.4314  0.3126  1 Mo 1.74
O  0.9448  0.1149  0.3268  1 Mo 1.80
O  0.4309  0.1618  0.7330  2 Sb 1.98-1.99
O  0.2678  0.6181  0.9569  1 Mo 1.74
O  0.4448  0.1149  0.1732  1 Mo 1.80
O  0.2455  0.2488  0.9608  1 Mo 1.81
O  0.0691  0.8382  0.2330  2 Sb 1.98-1.99
O  0.6708  0.5686  0.8126  1 Mo 1.74

Results
The energy relative to the elements, uncorrected comes out at -14.68 eV/f.u. As for the space group: P2_1/c (14). The value obtained for the volume is 511.4 Å³/cell.

***

Here is an optimized crystal structure of BaH3Rh from the Alexandria database. Energies are from GGA-PBEsol.

a = 3.8635 Å, b = 3.8635 Å, c = 3.8635 Å
α = 90.00°, β = 90.00°, γ = 90.00°
Last column: nearest neighbours and their distance in Å.
Fractional positions:
H  0.0000  0.5000  0.0000  2 Rh 1.93
H  0.0000  0.0000  0.5000  2 Rh 1.93
H  0.5000  0.0000  0.0000  2 Rh 1.93
Rh  0.0000  0.0000  0.0000  6 H 1.93
Ba  0.5000  0.5000  0.5000  12 H 2.73

Results
As for the space group: Pm-3m (221). The value obtained for the volume is 57.7 Å³/cell. As for the total energy: -4.494 eV/atom.

***

Here is an optimized crystal structure of Zn2PbC from the Alexandria database. Energies are from GGA-PBEsol.

a = 4.5506 Å, b = 4.5506 Å, c = 4.5506 Å
α = 60.00°, β = 60.00°, γ = 60.00°
Last column: nearest neighbours and their distance in Å.
Fractional positions:
Pb  0.5000  0.5000  0.5000  8 Zn 2.79
Zn  0.2500  0.2500  0.2500  4 Pb 2.79, 4 C 2.79
Zn  0.7500  0.7500  0.7500  4 Pb 2.79, 4 C 2.79
C  0.0000  0.0000  0.0000  8 Zn 2.79

Results
The value obtained for the formation energy is 1440.9 meV/atom. As for the space group: Fm-3m (225). The value obtained for the volume is 66.6 Å³/cell.

***

Here is an optimized crystal structure of TiP2O from the Alexandria database. Energies are from GGA-PBEsol.

a = 5.2119 Å, b = 5.2119 Å, c = 5.2119 Å
α = 101.23°, β = 113.74°, γ = 113.74°
Last column: nearest neighbours and their distance in Å.
Fractional positions:
P  0.9273  0.5523  0.1250  2 O 1.93
P  0.0727  0.1977  0.6250  2 O 1.93
P  0.5727  0.3750  0.4477  2 O 1.93
P  0.4273  0.8750  0.8023  2 O 1.93
O  0.0000  0.5000  0.5000  4 P 1.93
O  0.5000  0.2500  0.7500  4 P 1.93
Ti  0.0000  0.0000  0.0000  4 P 2.47
Ti  0.5000  0.7500  0.2500  4 P 2.47

Results
The energy relative to the elements, uncorrected comes out at -0.73 eV/f.u. As for the space group: I-42d (122). The value obtained for the volume is 107.3 Å³/cell.

***

Here is an optimized crystal structure of LiCuPO4 from the Alexandria database. Energies are from GGA-PBEsol.

a = 4.8456 Å, b = 4.8456 Å, c = 6.1797 Å
α = 90.00°, β = 90.00°, γ = 111.13°
Last column: nearest neighbours and their distance in Å.
Fractional positions:
Li  0.6741  0.3259  0.7500  4 O 1.94-2.07
Li  0.3259  0.6741  0.2500  4 O 1.94-2.07
Cu  0.0000  0.0000  0.0000  6 O 1.94-2.17
Cu  0.0000  0.0000  0.5000  6 O 1.94-2.17
P  0.6518  0.3482  0.2500  4 O 1.54-1.57
P  0.3482  0.6518  0.7500  4 O 1.54-1.57
O  0.7596  0.2404  0.0443  1 P 1.54
O  0.7596  0.2404  0.4557  1 P 1.54
O  0.3054  0.2408  0.2500  1 P 1.57
O  0.2408  0.3054  0.7500  1 P 1.57
O  0.7592  0.6946  0.2500  1 P 1.57
O  0.6946  0.7592  0.7500  1 P 1.57
O  0.2404  0.7596  0.9557  1 P 1.54
O  0.2404  0.7596  0.5443  1 P 1.54

Results
The energy relative to the elements, uncorrected comes out at -12.49 eV/f.u. As for the space group: Cmcm (63). The relative energy among the computed polymorphs is 23.6 meV per atom. The value obtained for the volume is 135.3 Å³/cell.

***

Here is an optimized crystal structure of CsZnIn3 from the Alexandria database. Energies are from GGA-PBEsol.

a = 5.3983 Å, b = 5.3983 Å, c = 5.3983 Å
α = 90.00°, β = 90.00°, γ = 90.00°
Last column: nearest neighbours and their distance in Å.
Fractional positions:
Cs  0.5000  0.5000  0.5000  12 In 3.82
Zn  0.0000  0.0000  0.0000  6 In 2.70
In  0.0000  0.5000  0.0000  2 Zn 2.70
In  0.0000  0.0000  0.5000  2 Zn 2.70
In  0.5000  0.0000  0.0000  2 Zn 2.70

Results
The value obtained for the formation energy is 160.2 meV/atom. As for the space group: Pm-3m (221). The value obtained for the volume is 157.3 Å³/cell.

***

Here is an optimized crystal structure of Cr2GaC from the Alexandria database. Energies are from GGA-PBEsol.

a = 2.8326 Å, b = 2.8326 Å, c = 12.3665 Å
α = 90.00°, β = 90.00°, γ = 120.00°
Last column: nearest neighbours and their distance in Å.
Fractional positions:
Cr  0.3333  0.6667  0.4149  3 C 1.95
Cr  0.6667  0.3333  0.9149  3 C 1.95
Cr  0.6667  0.3333  0.5851  3 C 1.95
Cr  0.3333  0.6667  0.0851  3 C 1.95
Ga  0.3333  0.6667  0.7500  6 Cr 2.61, 6 Ga 2.83
Ga  0.6667  0.3333  0.2500  6 Cr 2.61, 6 Ga 2.83
C  0.0000  0.0000  0.0000  6 Cr 1.95
C  0.0000  0.0000  0.5000  6 Cr 1.95

Results
The value obtained for the formation energy is -207.5 meV/atom. As for the space group: P6_3/mmc (194). The relative energy among the computed polymorphs is 0.0 meV per atom. The value obtained for the volume is 85.9 Å³/cell.

***

Here is an optimized crystal structure of CdSeO4 from the Alexandria database. Energies are from GGA-PBEsol.

a = 5.0342 Å, b = 7.3278 Å, c = 9.5558 Å
α = 90.00°, β = 90.00°, γ = 90.00°
Last column: nearest neighbours and their distance in Å.
Fractional positions:
Cd  0.0000  0.0000  0.0000  6 O 2.22-2.40
Cd  0.0000  0.5000  0.0000  6 O 2.22-2.40
Cd  0.5000  0.0000  0.5000  6 O 2.22-2.40
Cd  0.5000  0.5000  0.5000  6 O 2.22-2.40
Se  0.0061  0.2500  0.6821  4 O 1.65-1.69
Se  0.4939  0.2500  0.1821  4 O 1.65-1.69
Se  0.5061  0.7500  0.8179  4 O 1.65-1.69
Se  0.9939  0.7500  0.3179  4 O 1.65-1.69
O  0.0285  0.2500  0.8584  1 Se 1.69
O  0.1432  0.0572  0.6287  1 Se 1.65
O  0.1432  0.4428  0.6287  1 Se 1.65
O  0.1881  0.7500  0.8714  1 Se 1.68
O  0.3119  0.7500  0.3714  1 Se 1.68
O  0.3568  0.0572  0.1287  1 Se 1.65
O  0.3568  0.4428  0.1287  1 Se 1.65
O  0.4715  0.2500  0.3584  1 Se 1.69
O  0.5285  0.7500  0.6416  1 Se 1.69
O  0.6432  0.5572  0.8713  1 Se 1.65
O  0.6432  0.9428  0.8713  1 Se 1.65
O  0.6881  0.2500  0.6286  1 Se 1.68
O  0.8119  0.2500  0.1286  1 Se 1.68
O  0.8568  0.5572  0.3713  1 Se 1.65
O  0.8568  0.9428  0.3713  1 Se 1.65
O  0.9715  0.7500  0.1416  1 Se 1.69

Results
The energy relative to the elements, uncorrected comes out at -5.04 eV/f.u. As for the space group: Pnma (62). The value obtained for the volume is 352.5 Å³/cell.

***

Here is an optimized crystal structure of CrCdAu2 from the Alexandria database. Energies are from GGA-PBEsol.

a = 4.0652 Å, b = 4.0652 Å, c = 5.0002 Å
α = 113.99°, β = 113.99°, γ = 90.00°
Last column: nearest neighbours and their distance in Å.
Fractional positions:
Au  0.0000  0.0000  0.0000  4 Cd 2.87, 4 Cr 2.88, 4 Au 2.88
Au  0.2500  0.7500  0.5000  4 Cr 2.87, 4 Au 2.88, 4 Cd 2.88
Cd  0.5000  0.5000  0.0000  8 Au 2.87-2.88, 4 Cr 2.88
Cr  0.7500  0.2500  0.5000  8 Au 2.87-2.88, 4 Cd 2.88

Results
The value obtained for the formation energy is 63.0 meV/atom. As for the space group: I-4m2 (119). The value obtained for the volume is 67.6 Å³/cell.

***

Here is an optimized crystal structure of CaSc2S4 from the Alexandria database. Energies are from GGA-PBEsol.

a = 3.6940 Å, b = 11.3750 Å, c = 13.3656 Å
α = 90.00°, β = 90.00°, γ = 90.00°
Last column: nearest neighbours and their distance in Å.
Fractional positions:
Ca  0.2500  0.2393  0.6676  8 S 2.88-3.15
Ca  0.7500  0.7607  0.3324  8 S 2.88-3.15
Ca  0.2500  0.7393  0.8324  8 S 2.88-3.15
Ca  0.7500  0.2607  0.1676  8 S 2.88-3.15
Sc  0.7500  0.9148  0.5963  6 S 2.51-2.60
Sc  0.2500  0.0852  0.4037  6 S 2.51-2.60
Sc  0.7500  0.4148  0.9037  6 S 2.51-2.60
Sc  0.2500  0.5852  0.0963  6 S 2.51-2.60
Sc  0.2500  0.5583  0.6112  6 S 2.53-2.59
Sc  0.7500  0.4417  0.3888  6 S 2.53-2.59
Sc  0.2500  0.0583  0.8888  6 S 2.53-2.59
Sc  0.7500  0.9417  0.1112  6 S 2.53-2.59
S  0.7500  0.9077  0.9240  3 Sc 2.53-2.56
S  0.2500  0.0923  0.0760  3 Sc 2.53-2.56
S  0.7500  0.4077  0.5760  3 Sc 2.53-2.56
S  0.2500  0.5923  0.4240  3 Sc 2.53-2.56
S  0.7500  0.0316  0.2849  3 Sc 2.51-2.54
S  0.2500  0.9684  0.7151  3 Sc 2.51-2.54
S  0.7500  0.5316  0.2151  3 Sc 2.51-2.54
S  0.2500  0.4684  0.7849  3 Sc 2.51-2.54
S  0.7500  0.6274  0.9672  3 Sc 2.56-2.57
S  0.2500  0.3726  0.0328  3 Sc 2.56-2.57
S  0.7500  0.1274  0.5328  3 Sc 2.56-2.57
S  0.2500  0.8726  0.4672  3 Sc 2.56-2.57
S  0.2500  0.7973  0.1696  3 Sc 2.59-2.60, 2 Ca 2.89
S  0.7500  0.2027  0.8304  3 Sc 2.59-2.60, 2 Ca 2.89
S  0.2500  0.2973  0.3304  3 Sc 2.59-2.60, 2 Ca 2.89
S  0.7500  0.7027  0.6696  3 Sc 2.59-2.60, 2 Ca 2.89

Results
The energy relative to the elements, uncorrected comes out at -14.26 eV/f.u. As for the space group: Pnma (62). The value obtained for the volume is 561.6 Å³/cell.